Record 1
# BeAlHg2

A relaxed BeAlHg2 crystal (PBE, the Alexandria database).

Lattice parameters (Å, degrees): 8.2810 8.2810 8.2810 22.60 22.60 22.60
Last column: nearest neighbours and their distance in Å.
Positions (direct):
Be 0.0000 0.0000 0.0000  6 Hg 2.60
Al 0.5000 0.5000 0.5000  6 Hg 2.91, 6 Al 3.25
Hg 0.2589 0.2589 0.2589  3 Be 2.60
Hg 0.7411 0.7411 0.7411  3 Be 2.60

Values from the calculation:
Space-group type: R-3m (166)
Distance to the lowest polymorph of the same formula (meV per atom): 95
Electronic total energy (Ry/atom): -0.1247
Formation energy (eV/atom): 0.32

---

Record 2
# LaNbGe2Os

A relaxed LaNbGe2Os crystal (PBE, the Alexandria database).

Lattice parameters (Å, degrees): 6.5087 6.5087 6.5087 142.89 142.89 53.50
Last column: nearest neighbours and their distance in Å.
Positions (direct):
La 0.0000 0.0000 0.0000  8 Ge 3.22, 4 Nb 3.57, 4 Os 3.57
Nb 0.7500 0.2500 0.5000  4 Ge 2.60
Ge 0.3855 0.3855 0.0000  2 Nb 2.60, 2 Os 2.60, 1 Ge 2.66
Ge 0.6145 0.6145 0.0000  2 Nb 2.60, 2 Os 2.60, 1 Ge 2.66
Os 0.2500 0.7500 0.5000  4 Ge 2.60

Values from the calculation:
Space-group type: I-4m2 (119)
Electronic total energy (Ry/atom): -0.5561
Formation energy (eV/atom): -0.47

---

Record 3
# Sr3Ag6Pb5

A relaxed Sr3Ag6Pb5 crystal (PBE, the Alexandria database).

Lattice parameters (Å, degrees): 9.3055 9.3055 9.3055 149.67 108.70 79.41
Last column: nearest neighbours and their distance in Å.
Positions (direct):
Sr 0.0000 0.0000 0.0000  4 Ag 3.43
Sr 0.3160 0.3160 0.0000  6 Ag 3.50-3.57, 8 Pb 3.52-3.82
Sr 0.6840 0.6840 0.0000  6 Ag 3.50-3.57, 8 Pb 3.52-3.82
Ag 0.1586 0.8825 0.2761  4 Pb 2.93-3.03, 2 Ag 2.96
Ag 0.2878 0.5000 0.7878  4 Ag 2.96, 2 Pb 2.97
Ag 0.3936 0.1175 0.2761  4 Pb 2.93-3.03, 2 Ag 2.96
Ag 0.6064 0.8825 0.7239  4 Pb 2.93-3.03, 2 Ag 2.96
Ag 0.7122 0.5000 0.2122  4 Ag 2.96, 2 Pb 2.97
Ag 0.8414 0.1175 0.7239  4 Pb 2.93-3.03, 2 Ag 2.96
Pb 0.0304 0.6787 0.3517  4 Ag 2.93-3.03, 1 Pb 3.22
Pb 0.3270 0.6787 0.6483  4 Ag 2.93-3.03, 1 Pb 3.22
Pb 0.5000 0.0000 0.5000  4 Ag 2.95
Pb 0.6730 0.3213 0.3517  4 Ag 2.93-3.03, 1 Pb 3.22
Pb 0.9696 0.3213 0.6483  4 Ag 2.93-3.03, 1 Pb 3.22

Values from the calculation:
Space-group type: Immm (71)
Electronic total energy (Ry/atom): -0.2315
Formation energy (eV/atom): -0.24

---

Record 4
# K2ErCd3Hg12

A relaxed K2ErCd3Hg12 crystal (PBE, the Alexandria database).

Lattice parameters (Å, degrees): 13.5511 13.5511 13.5511 29.78 29.78 29.78
Last column: nearest neighbours and their distance in Å.
Positions (direct):
K 0.1390 0.1390 0.1390  12 Hg 3.66-3.83
K 0.8610 0.8610 0.8610  12 Hg 3.66-3.83
Er 0.5000 0.5000 0.5000  6 Hg 3.00
Cd 0.0000 0.5000 0.5000  4 Hg 2.98
Cd 0.5000 0.0000 0.5000  4 Hg 2.98
Cd 0.5000 0.5000 0.0000  4 Hg 2.98
Hg 0.0936 0.0936 0.6529  2 Cd 2.98, 4 Hg 3.06-3.07
Hg 0.0936 0.6529 0.0936  2 Cd 2.98, 4 Hg 3.06-3.07
Hg 0.1054 0.6120 0.6120  1 Er 3.00, 2 Hg 3.06
Hg 0.3471 0.9064 0.9064  2 Cd 2.98, 4 Hg 3.06-3.07
Hg 0.3880 0.3880 0.8946  1 Er 3.00, 2 Hg 3.06
Hg 0.3880 0.8946 0.3880  1 Er 3.00, 2 Hg 3.06
Hg 0.6120 0.1054 0.6120  1 Er 3.00, 2 Hg 3.06
Hg 0.6120 0.6120 0.1054  1 Er 3.00, 2 Hg 3.06
Hg 0.6529 0.0936 0.0936  2 Cd 2.98, 4 Hg 3.06-3.07
Hg 0.8946 0.3880 0.3880  1 Er 3.00, 2 Hg 3.06
Hg 0.9064 0.3471 0.9064  2 Cd 2.98, 4 Hg 3.06-3.07
Hg 0.9064 0.9064 0.3471  2 Cd 2.98, 4 Hg 3.06-3.07

Values from the calculation:
Space-group type: R-3m (166)
Electronic total energy (Ry/atom): -0.0588
Formation energy (eV/atom): -0.07

---

Record 5
# Ba3TlN

A relaxed Ba3TlN crystal (PBE, the Alexandria database).

Lattice parameters (Å, degrees): 7.3017 7.8312 8.0726 113.33 97.14 101.06
Last column: nearest neighbours and their distance in Å.
Positions (direct):
Ba 0.0762 0.2124 0.4571  2 N 2.61-2.74
Ba 0.3201 0.1709 0.9495  1 N 2.54
Ba 0.3839 0.7461 0.3959  2 N 2.58-2.76
Ba 0.6161 0.2539 0.6041  2 N 2.58-2.76
Ba 0.6799 0.8291 0.0505  1 N 2.54
Ba 0.9238 0.7876 0.5429  2 N 2.61-2.74
Tl 0.1136 0.6389 0.9264  1 Tl 3.17
Tl 0.8864 0.3611 0.0736  1 Tl 3.17
N 0.2694 0.0362 0.6000  5 Ba 2.54-2.76
N 0.7306 0.9638 0.4000  5 Ba 2.54-2.76

Values from the calculation:
Formation energy (no corrections) (eV/atom): -0.3610
Space-group type: P-1 (2)
Electronic total energy (Ry/atom): -0.2685

---

Record 6
# PrDyAl4

A relaxed PrDyAl4 crystal (PBE, the Alexandria database).

Lattice parameters (Å, degrees): 5.6432 5.6432 5.6432 60.00 60.00 60.00
Last column: nearest neighbours and their distance in Å.
Positions (direct):
Pr 0.0000 0.0000 0.0000  12 Al 3.31, 4 Dy 3.46
Dy 0.7500 0.7500 0.7500  12 Al 3.31, 4 Pr 3.46
Al 0.3752 0.3752 0.3752  6 Al 2.82-2.83
Al 0.3752 0.3752 0.8744  6 Al 2.82-2.83
Al 0.3752 0.8744 0.3752  6 Al 2.82-2.83
Al 0.8744 0.3752 0.3752  6 Al 2.82-2.83

Values from the calculation:
Space-group type: F-43m (216)
Electronic total energy (Ry/atom): -0.3349
Formation energy (eV/atom): -0.50

---

Record 7
# ErAgSnRh

A relaxed ErAgSnRh crystal (PBE, the Alexandria database).

Lattice parameters (Å, degrees): 4.8039 4.8039 4.8039 60.00 60.00 60.00
Last column: nearest neighbours and their distance in Å.
Positions (direct):
Er 0.0000 0.0000 0.0000  4 Ag 2.94, 4 Rh 2.94
Ag 0.7500 0.7500 0.7500  4 Sn 2.94, 4 Er 2.94
Sn 0.5000 0.5000 0.5000  4 Rh 2.94, 4 Ag 2.94
Rh 0.2500 0.2500 0.2500  4 Sn 2.94, 4 Er 2.94

Values from the calculation:
Space-group type: F-43m (216)
Electronic total energy (Ry/atom): -0.3841
Formation energy (eV/atom): -0.53

---

Record 8
# BaNaPt2

A relaxed BaNaPt2 crystal (PBE, the Alexandria database).

Lattice parameters (Å, degrees): 9.9736 9.9736 9.9736 150.65 150.65 41.99
Last column: nearest neighbours and their distance in Å.
Positions (direct):
Ba 0.0000 0.0000 0.0000  8 Pt 3.48-3.85, 4 Na 3.57
Ba 0.7500 0.2500 0.5000  8 Pt 3.48-3.85, 4 Na 3.57
Na 0.2500 0.7500 0.5000  4 Pt 2.66
Na 0.5000 0.5000 0.0000  4 Pt 2.66
Pt 0.3218 0.6250 0.1968  2 Pt 2.58, 2 Na 2.66
Pt 0.3750 0.5718 0.6968  2 Pt 2.58, 2 Na 2.66
Pt 0.4282 0.1250 0.8032  2 Pt 2.58, 2 Na 2.66
Pt 0.8750 0.6782 0.3032  2 Pt 2.58, 2 Na 2.66

Values from the calculation:
Space-group type: I-42d (122)
Electronic total energy (Ry/atom): -0.2986
Formation energy (eV/atom): -0.23

---

Record 9
# CrCd2InPt

A relaxed CrCd2InPt crystal (PBE, the Alexandria database).

Lattice parameters (Å, degrees): 5.0631 5.0631 4.8621 90.00 90.00 90.00
Last column: nearest neighbours and their distance in Å.
Positions (direct):
Cr 0.0000 0.0000 0.0000  2 In 2.43
Cd 0.0000 0.5000 0.5000  2 In 2.53
Cd 0.5000 0.0000 0.5000  2 In 2.53
In 0.0000 0.0000 0.5000  2 Cr 2.43, 4 Cd 2.53
Pt 0.5000 0.5000 0.0000  8 Cd 3.51, 4 Cr 3.58

Values from the calculation:
Space-group type: P4/mmm (123)
Electronic total energy (Ry/atom): -0.2105
Formation energy (eV/atom): 1.18

---

Record 10
# Mg2H5Ir3

A relaxed Mg2H5Ir3 crystal (PBE, the Alexandria database).

Lattice parameters (Å, degrees): 5.2742 5.2742 8.3358 120.93 120.93 32.13
Last column: nearest neighbours and their distance in Å.
Positions (direct):
Mg 0.0000 0.0000 0.0000  3 H 2.09-2.22
Mg 0.0327 0.0327 0.5905  5 H 2.30-2.43
H 0.3068 0.3068 0.8459  1 Ir 1.67
H 0.5415 0.5415 0.8091  1 Ir 1.68
H 0.7229 0.7229 0.6049  3 Ir 1.80-1.95
H 0.7484 0.7484 0.1565  2 Ir 1.79, 1 H 1.94
H 0.9640 0.9640 0.2250  2 Ir 1.78, 1 H 1.94
Ir 0.2954 0.2954 0.3018  2 H 1.79
Ir 0.3460 0.3460 0.6756  4 H 1.67-1.80
Ir 0.5790 0.5790 0.3307  3 H 1.78-1.95

Values from the calculation:
Space-group type: Cm (8)
Distance to the lowest polymorph of the same formula (meV per atom): 43
Electronic total energy (Ry/atom): -0.3508

---

Record 11
# Y6Cl7

A relaxed Y6Cl7 crystal (PBE, the Alexandria database).

Lattice parameters (Å, degrees): 10.6748 10.6748 10.6748 33.55 33.55 33.55
Last column: nearest neighbours and their distance in Å.
Positions (direct):
Y 0.0564 0.0564 0.0564  6 Cl 3.11, 1 Y 3.41
Y 0.1891 0.1891 0.1891  3 Cl 2.85
Y 0.3333 0.3333 0.3333  6 Cl 2.77
Y 0.6667 0.6667 0.6667  6 Cl 2.77
Y 0.8109 0.8109 0.8109  3 Cl 2.85
Y 0.9436 0.9436 0.9436  6 Cl 3.11, 1 Y 3.41
Cl 0.0690 0.5709 0.5709  3 Y 2.77-2.85, 4 Cl 3.07-3.09
Cl 0.4291 0.4291 0.9310  3 Y 2.77-2.85, 4 Cl 3.07-3.09
Cl 0.4291 0.9310 0.4291  3 Y 2.77-2.85, 4 Cl 3.07-3.09
Cl 0.5000 0.5000 0.5000  6 Cl 3.41, 6 Y 3.62
Cl 0.5709 0.0690 0.5709  3 Y 2.77-2.85, 4 Cl 3.07-3.09
Cl 0.5709 0.5709 0.0690  3 Y 2.77-2.85, 4 Cl 3.07-3.09
Cl 0.9310 0.4291 0.4291  3 Y 2.77-2.85, 4 Cl 3.07-3.09

Values from the calculation:
Formation energy (no corrections) (eV/atom): -1.2372
Space-group type: R-3m (166)
Electronic total energy (Ry/atom): -0.3833

---

Record 12
# RbNaZrMo2

A relaxed RbNaZrMo2 crystal (PBE, the Alexandria database).

Lattice parameters (Å, degrees): 4.9566 4.9566 4.6508 90.00 90.00 90.00
Last column: nearest neighbours and their distance in Å.
Positions (direct):
Rb 0.0000 0.0000 0.0000  2 Na 2.33, 4 Mo 2.48
Na 0.0000 0.0000 0.5000  2 Rb 2.33
Zr 0.5000 0.5000 0.5000  8 Mo 3.40, 4 Na 3.50
Mo 0.0000 0.5000 0.0000  2 Rb 2.48
Mo 0.5000 0.0000 0.0000  2 Rb 2.48

Values from the calculation:
Space-group type: P4/mmm (123)
Electronic total energy (Ry/atom): -0.2960
Formation energy (eV/atom): 2.47